[1]
Entry from Alexandria via LeMat-Bulk: a relaxed structure of ScCd2Hg (GGA-PBEsol).

Lattice parameters (Å, degrees): 4.840 4.840 4.840 119.80 119.80 90.36
Sites, in units of the cell vectors:
Sc  0.000  0.000  0.000
Cd  0.500  0.500  0.000
Cd  0.750  0.250  0.500
Hg  0.250  0.750  0.500

Calculated values
Its space group is I-4m2. The value obtained for the density of states at the Fermi level is 1.31 states/eV/cell. Its total DFT energy (no corrections) is -2.70 eV per atom. The energy of formation from the pure elements is -308 meV/atom.



[2]
Entry from Alexandria via LeMat-Bulk: a relaxed structure of CdGaIO2 (GGA-PBEsol).

Lattice parameters (Å, degrees): 4.203 4.203 6.202 90.00 90.00 90.00
Sites, in units of the cell vectors:
Cd  0.000  0.000  0.000
Ga  0.500  0.500  0.500
I  0.000  0.000  0.500
O  0.000  0.500  0.000
O  0.500  0.000  0.000

Calculated values
Its space group is P4/mmm. As for the raw formation energy: 0.12 eV/atom. The value obtained for the density of states at the Fermi level is 3.49 states/eV/cell. Its total DFT energy (no corrections) is -3.24 eV per atom.



[3]
Entry from Alexandria via LeMat-Bulk: a relaxed structure of InRhF3 (GGA-PBEsol).

Lattice parameters (Å, degrees): 4.194 4.194 4.194 90.00 90.00 90.00
Sites, in units of the cell vectors:
In  0.000  0.000  0.000
Rh  0.500  0.500  0.500
F  0.000  0.500  0.500
F  0.500  0.000  0.500
F  0.500  0.500  0.000

Calculated values
Its space group is Pm-3m. As for the raw formation energy: -1.22 eV/atom. The value obtained for the density of states at the Fermi level is 2.79 states/eV/cell. Its total DFT energy (no corrections) is -4.60 eV per atom.



[4]
Entry from Alexandria via LeMat-Bulk: a relaxed structure of CaNi2AgF (GGA-PBEsol).

Lattice parameters (Å, degrees): 4.444 4.444 5.301 90.00 90.00 90.00
Sites, in units of the cell vectors:
Ca  0.000  0.000  0.000
Ni  0.000  0.500  0.000
Ni  0.500  0.000  0.000
Ag  0.000  0.000  0.500
F  0.500  0.500  0.500

Calculated values
Its space group is P4/mmm. As for the raw formation energy: 1.31 eV/atom. The value obtained for the density of states at the Fermi level is 5.84 states/eV/cell. Its total DFT energy (no corrections) is -2.62 eV per atom.



[5]
Entry from Alexandria via LeMat-Bulk: a relaxed structure of La2OsNF (GGA-PBEsol).

Lattice parameters (Å, degrees): 4.982 4.982 3.727 90.00 90.00 90.00
Sites, in units of the cell vectors:
La  0.000  0.500  0.000
La  0.500  0.000  0.000
Os  0.000  0.000  0.500
N  0.500  0.500  0.000
F  0.500  0.500  0.500

Calculated values
Its space group is P4/mmm. As for the raw formation energy: -0.35 eV/atom. The value obtained for the density of states at the Fermi level is 1.16 states/eV/cell. Its total DFT energy (no corrections) is -7.03 eV per atom.



[6]
Entry from Alexandria via LeMat-Bulk: a relaxed structure of La2TcCl (GGA-PBEsol).

Lattice parameters (Å, degrees): 3.524 3.524 8.264 97.39 97.39 75.06
Sites, in units of the cell vectors:
La  0.065  0.065  0.217
La  0.935  0.935  0.783
Tc  0.500  0.500  0.000
Cl  0.500  0.500  0.500

Calculated values
Its space group is C2/m. As for the raw formation energy: -0.74 eV/atom. The value obtained for the density of states at the Fermi level is 1.50 states/eV/cell. Its total DFT energy (no corrections) is -6.73 eV per atom.



[7]
Entry from Alexandria via LeMat-Bulk: a relaxed structure of AlTc2Ag (GGA-PBEsol).

Lattice parameters (Å, degrees): 4.591 4.591 2.762 90.00 90.00 90.00
Sites, in units of the cell vectors:
Al  0.000  0.000  0.000
Tc  0.000  0.500  0.500
Tc  0.500  0.000  0.500
Ag  0.500  0.500  0.000

Calculated values
Its space group is P4/mmm. The value obtained for the density of states at the Fermi level is 3.52 states/eV/cell. Its total DFT energy (no corrections) is -7.17 eV per atom. The energy of formation from the pure elements is 314 meV/atom.



[8]
Entry from Alexandria via LeMat-Bulk: a relaxed structure of Na3AuF (GGA-PBEsol).

Lattice parameters (Å, degrees): 4.578 4.578 4.578 90.00 90.00 90.00
Sites, in units of the cell vectors:
Na  0.000  0.000  0.500
Na  0.000  0.500  0.000
Na  0.500  0.000  0.000
Au  0.500  0.500  0.500
F  0.000  0.000  0.000

Calculated values
Its space group is Pm-3m. As for the raw formation energy: -1.11 eV/atom. The value obtained for the density of states at the Fermi level is 1.81 states/eV/cell. Its total DFT energy (no corrections) is -3.12 eV per atom.



[9]
Entry from Alexandria via LeMat-Bulk: a relaxed structure of Ti3CoSn2P6O24 (GGA-PBEsol).

Lattice parameters (Å, degrees): 9.069 9.069 9.069 55.32 55.32 55.32
Sites, in units of the cell vectors:
Ti  0.000  0.000  0.000
Ti  0.208  0.208  0.208
Ti  0.700  0.700  0.700
Co  0.509  0.509  0.509
Sn  0.377  0.377  0.377
Sn  0.841  0.841  0.841
P  0.099  0.823  0.390
P  0.312  0.605  0.888
P  0.390  0.099  0.823
P  0.605  0.888  0.312
P  0.823  0.390  0.099
P  0.888  0.312  0.605
O  0.042  0.862  0.238
O  0.047  0.314  0.406
O  0.106  0.999  0.369
O  0.125  0.758  0.967
O  0.238  0.042  0.862
O  0.295  0.652  0.385
O  0.314  0.406  0.047
O  0.321  0.629  0.704
O  0.369  0.106  0.999
O  0.385  0.295  0.652
O  0.406  0.047  0.314
O  0.485  0.632  0.859
O  0.590  0.940  0.764
O  0.629  0.704  0.321
O  0.632  0.859  0.485
O  0.652  0.385  0.295
O  0.704  0.321  0.629
O  0.758  0.967  0.125
O  0.764  0.590  0.940
O  0.859  0.485  0.632
O  0.862  0.238  0.042
O  0.940  0.764  0.590
O  0.967  0.125  0.758
O  0.999  0.369  0.106

Calculated values
Its space group is R3. As for the raw formation energy: -2.28 eV/atom. The value obtained for the density of states at the Fermi level is 9.80 states/eV/cell. Its total DFT energy (no corrections) is -7.89 eV per atom.



[10]
Entry from Alexandria via LeMat-Bulk: a relaxed structure of Na2ZrBeTe (GGA-PBEsol).

Lattice parameters (Å, degrees): 4.874 4.874 4.926 90.00 90.00 90.00
Sites, in units of the cell vectors:
Na  0.000  0.500  0.000
Na  0.500  0.000  0.000
Zr  0.000  0.000  0.500
Be  0.500  0.500  0.000
Te  0.500  0.500  0.500

Calculated values
Its space group is P4/mmm. As for the raw formation energy: 0.81 eV/atom. The value obtained for the density of states at the Fermi level is 4.88 states/eV/cell. Its total DFT energy (no corrections) is -3.07 eV per atom.



[11]
Entry from Alexandria via LeMat-Bulk: a relaxed structure of Al3Sb (GGA-PBEsol).

Lattice parameters (Å, degrees): 3.150 4.918 5.020 90.00 90.00 90.00
Sites, in units of the cell vectors:
Al  0.000  0.000  0.000
Al  0.000  0.500  0.306
Al  0.500  0.000  0.466
Sb  0.500  0.500  0.802

Calculated values
Its space group is Pmm2. As for the raw formation energy: 0.19 eV/atom. The value obtained for the density of states at the Fermi level is 1.87 states/eV/cell. Its total DFT energy (no corrections) is -4.02 eV per atom.



[12]
Entry from Alexandria via LeMat-Bulk: a relaxed structure of KBaB5O9 (GGA-PBEsol).

Lattice parameters (Å, degrees): 6.740 8.337 14.407 90.00 92.59 90.00
Sites, in units of the cell vectors:
K  0.013  0.147  0.402
K  0.013  0.353  0.902
K  0.987  0.647  0.098
K  0.987  0.853  0.598
Ba  0.428  0.524  0.730
Ba  0.428  0.976  0.230
Ba  0.572  0.024  0.770
Ba  0.572  0.476  0.270
B  0.040  0.205  0.679
B  0.040  0.295  0.179
B  0.105  0.522  0.308
B  0.105  0.978  0.808
B  0.295  0.731  0.397
B  0.295  0.769  0.897
B  0.342  0.191  0.570
B  0.342  0.309  0.070
B  0.432  0.697  0.058
B  0.432  0.803  0.558
B  0.568  0.197  0.442
B  0.568  0.303  0.942
B  0.658  0.691  0.930
B  0.658  0.809  0.430
B  0.705  0.231  0.103
B  0.705  0.269  0.603
B  0.895  0.022  0.192
B  0.895  0.478  0.692
B  0.960  0.705  0.821
B  0.960  0.795  0.321
O  0.059  0.120  0.206
O  0.059  0.380  0.706
O  0.130  0.118  0.760
O  0.130  0.382  0.260
O  0.152  0.171  0.595
O  0.152  0.329  0.095
O  0.166  0.662  0.841
O  0.166  0.838  0.341
O  0.256  0.562  0.370
O  0.256  0.938  0.870
O  0.282  0.748  0.997
O  0.282  0.752  0.497
O  0.380  0.164  0.477
O  0.380  0.336  0.977
O  0.405  0.683  0.150
O  0.405  0.817  0.650
O  0.494  0.238  0.631
O  0.494  0.262  0.131
O  0.506  0.738  0.869
O  0.506  0.762  0.369
O  0.595  0.183  0.350
O  0.595  0.317  0.850
O  0.620  0.664  0.023
O  0.620  0.836  0.523
O  0.718  0.248  0.503
O  0.718  0.252  0.003
O  0.744  0.062  0.130
O  0.744  0.438  0.630
O  0.834  0.162  0.659
O  0.834  0.338  0.159
O  0.848  0.671  0.905
O  0.848  0.829  0.405
O  0.870  0.618  0.740
O  0.870  0.882  0.240
O  0.941  0.620  0.294
O  0.941  0.880  0.794

Calculated values
Its space group is P2_1/c. As for the raw formation energy: -2.58 eV/atom. The value obtained for the density of states at the Fermi level is 0.00 states/eV/cell. Its total DFT energy (no corrections) is -7.93 eV per atom.



We obtain total moment values of 0.0; 1.2; 0.0; 0.2; 0.0; 0.0; 0.0; 0.0; 3.0; 1.7; 0.0; 0.1 Bohr magnetons per cell for the records listed above, in that order.